Entry from Alexandria via LeMat-Bulk: an optimized crystal structure of GeTeN2 (PBE).

Computed properties:
**VASP energy**: -4.5294 eV per atom
**ΔE_f (raw)**: 1.573 eV/atom
**Total magnetic moment**: 0.00 μB per atom
**ΔE to the lowest computed polymorph**: 1.045 eV per atom

a = 5.9283 Å, b = 5.9283 Å, c = 5.9283 Å
α = 90.00°, β = 90.00°, γ = 90.00°
Space group Fm-3m (No. 225)
Unique sites:
Ge 0.0000 0.0000 0.0000
Te 0.0000 0.0000 0.5000
N 0.2500 0.2500 0.2500

Entry from Alexandria via LeMat-Bulk: an optimized crystal structure of Ge3TeN (PBE).

Computed properties:
**VASP energy**: -2.9758 eV per atom
**ΔE_f (raw)**: 2.088 eV/atom
**Total magnetic moment**: 0.00 μB per atom
**ΔE to the lowest computed polymorph**: 1.503 eV per atom

a = 5.4376 Å, b = 5.4376 Å, c = 5.4376 Å
α = 90.00°, β = 90.00°, γ = 90.00°
Space group Pm-3m (No. 221)
Unique sites:
Ge 0.0000 0.0000 0.5000
Te 0.0000 0.0000 0.0000
N 0.5000 0.5000 0.5000

What did the first record say?
Entry from Alexandria via LeMat-Bulk: an optimized crystal structure of GeTeN2 (PBE).

Computed properties:
**VASP energy**: -4.5294 eV per atom
**ΔE_f (raw)**: 1.573 eV/atom
**Total magnetic moment**: 0.00 μB per atom
**ΔE to the lowest computed polymorph**: 1.045 eV per atom

a = 5.9283 Å, b = 5.9283 Å, c = 5.9283 Å
α = 90.00°, β = 90.00°, γ = 90.00°
Space group Fm-3m (No. 225)
Unique sites:
Ge 0.0000 0.0000 0.0000
Te 0.0000 0.0000 0.5000
N 0.2500 0.2500 0.2500

> Which formula does entry 2 have?

Ge3TeN